Entry 1:
The following is a DFT calculation (GGA-PBE) of a relaxed TiVSn2 crystal. Values from VASP.

Properties
ΔE to the lowest computed polymorph: 2.4 kJ per mole of atoms
N(E_F): 5.32 states/eV/f.u.
density: 7.27 g cm⁻³
VASP energy: -6.19 eV/atom

Geometry as Quantum ESPRESSO input:
```
&SYSTEM
  ibrav = 0, nat = 4, ntyp = 3
/
ATOMIC_SPECIES
Sn 118.71 Sn.upf
V 50.94 V.upf
Ti 47.87 Ti.upf
CELL_PARAMETERS angstrom
-0.2979 -3.2623 3.4702
-3.2614 0.4781 3.4508
-3.7384 -2.9609 0.1768
ATOMIC_POSITIONS crystal
Sn 0.2500 0.2500 0.2500
Sn 0.7500 0.7500 0.7500
V 0.5000 0.5000 0.5000
Ti 0.0000 0.0000 0.0000
```

=====

Entry 2:
The following is a DFT calculation (GGA-PBE) of a relaxed TiV2Sn2 crystal. Values from VASP.

Properties
ΔE to the lowest computed polymorph: 6.0 kJ per mole of atoms
N(E_F): 6.80 states/eV/f.u.
density: 7.06 g cm⁻³
VASP energy: -6.66 eV/atom

Geometry as Quantum ESPRESSO input:
```
&SYSTEM
  ibrav = 0, nat = 10, ntyp = 3
/
ATOMIC_SPECIES
Ti 47.87 Ti.upf
V 50.94 V.upf
Sn 118.71 Sn.upf
CELL_PARAMETERS angstrom
7.7054 0.0000 0.0000
0.0000 7.7054 0.0000
0.0000 0.0000 3.0662
ATOMIC_POSITIONS crystal
Ti 0.5000 0.5000 0.0000
Ti 0.0000 0.0000 0.0000
V 0.1075 0.3925 0.0000
V 0.6075 0.1075 0.0000
V 0.8925 0.6075 0.0000
V 0.3925 0.8925 0.0000
Sn 0.8137 0.3137 0.5000
Sn 0.6863 0.8137 0.5000
Sn 0.1863 0.6863 0.5000
Sn 0.3137 0.1863 0.5000
```

=====

Entry 3:
The following is a DFT calculation (GGA-PBE) of a relaxed TiVSn2 crystal. Values from VASP.

Properties
ΔE to the lowest computed polymorph: 33.4 kJ per mole of atoms
N(E_F): 5.19 states/eV/f.u.
density: 6.68 g cm⁻³
VASP energy: -5.87 eV/atom

Geometry as Quantum ESPRESSO input:
```
&SYSTEM
  ibrav = 0, nat = 4, ntyp = 3
/
ATOMIC_SPECIES
Sn 118.71 Sn.upf
V 50.94 V.upf
Ti 47.87 Ti.upf
CELL_PARAMETERS angstrom
-0.0896 -0.9128 -2.9449
-1.5189 -2.5710 -0.7721
-8.9885 4.2594 -2.6619
ATOMIC_POSITIONS crystal
Sn 0.9069 0.9069 0.2793
Sn 0.0931 0.0931 0.7207
V 0.5000 0.5000 0.5000
Ti 0.0000 0.0000 0.0000
```

=====

Entry 4:
The following is a DFT calculation (GGA-PBE) of a relaxed Ti2VSn2 crystal. Values from VASP.

Properties
ΔE to the lowest computed polymorph: 2.1 kJ per mole of atoms
N(E_F): 4.61 states/eV/f.u.
density: 6.75 g cm⁻³
VASP energy: -6.63 eV/atom

Geometry as Quantum ESPRESSO input:
```
&SYSTEM
  ibrav = 0, nat = 10, ntyp = 3
/
ATOMIC_SPECIES
Sn 118.71 Sn.upf
V 50.94 V.upf
Ti 47.87 Ti.upf
CELL_PARAMETERS angstrom
4.6488 0.0000 0.0000
0.0000 5.4815 0.0000
-2.3244 0.0000 7.4117
ATOMIC_POSITIONS crystal
Sn 0.2460 0.9770 0.4921
Sn 0.7540 0.4770 0.5079
Sn 0.9997 0.7264 0.9994
Sn 0.0003 0.2264 0.0006
V 0.4440 0.9768 0.8880
V 0.5560 0.4768 0.1120
Ti 0.1629 0.4774 0.3258
Ti 0.6263 0.9768 0.2526
Ti 0.3737 0.4768 0.7474
Ti 0.8371 0.9774 0.6742
```

=====

Entry 5:
The following is a DFT calculation (GGA-PBE) of a relaxed Ti7V5Sn crystal. Values from VASP.

Properties
N(E_F): 17.90 states/eV/f.u.
density: 5.46 g cm⁻³
VASP energy: -7.95 eV/atom

Geometry as Quantum ESPRESSO input:
```
&SYSTEM
  ibrav = 0, nat = 13, ntyp = 3
/
ATOMIC_SPECIES
Ti 47.87 Ti.upf
V 50.94 V.upf
Sn 118.71 Sn.upf
CELL_PARAMETERS angstrom
-0.3273 3.0132 4.1960
-6.5665 1.8114 1.3797
-0.9984 -3.7193 5.7857
ATOMIC_POSITIONS crystal
Ti 0.4570 0.8849 0.2012
Ti 0.4519 0.5481 0.5481
Ti 0.9566 0.7420 0.3448
Ti 0.1700 0.3300 0.3300
Ti 0.9566 0.3448 0.7420
Ti 0.7981 0.2019 0.2019
Ti 0.4570 0.2012 0.8849
V 0.4764 0.5269 0.0273
V 0.9695 0.5269 0.0273
V 0.7549 0.7451 0.7451
V 0.9695 0.0273 0.5269
V 0.4764 0.0273 0.5269
Sn 0.1064 0.8936 0.8936
```

=====

Entry 6:
The following is a DFT calculation (GGA-PBE) of a relaxed TiVSn4 crystal. Values from VASP.

Properties
N(E_F): 4.26 states/eV/f.u.
density: 7.31 g cm⁻³
VASP energy: -5.61 eV/atom

Geometry as Quantum ESPRESSO input:
```
&SYSTEM
  ibrav = 0, nat = 12, ntyp = 3
/
ATOMIC_SPECIES
Sn 118.71 Sn.upf
Ti 47.87 Ti.upf
V 50.94 V.upf
CELL_PARAMETERS angstrom
-4.3126 1.4154 -5.0623
0.9045 -6.2506 -2.5181
-2.5895 0.5348 6.9216
ATOMIC_POSITIONS crystal
Sn 0.4724 0.9724 0.2695
Sn 0.7029 0.5276 0.7305
Sn 0.2971 0.4724 0.2695
Sn 0.9724 0.7971 0.2695
Sn 0.5276 0.0276 0.7305
Sn 0.2029 0.7029 0.7305
Sn 0.0276 0.2029 0.7305
Sn 0.7971 0.2971 0.2695
Ti 0.5000 0.5000 0.0000
Ti 0.0000 0.0000 0.0000
V 0.2500 0.2500 0.5000
V 0.7500 0.7500 0.5000
```

=====

Entry 7:
The following is a DFT calculation (GGA-PBE) of a relaxed TiV2Sn crystal. Values from VASP.

Properties
N(E_F): 6.23 states/eV/f.u.
density: 6.38 g cm⁻³
VASP energy: -6.97 eV/atom

Geometry as Quantum ESPRESSO input:
```
&SYSTEM
  ibrav = 0, nat = 8, ntyp = 3
/
ATOMIC_SPECIES
V 50.94 V.upf
Sn 118.71 Sn.upf
Ti 47.87 Ti.upf
CELL_PARAMETERS angstrom
7.1500 0.0000 0.0000
0.0000 7.1500 0.0000
3.5750 3.5750 2.7320
ATOMIC_POSITIONS crystal
V 0.8750 0.8597 0.7500
V 0.1403 0.6250 0.2500
V 0.6097 0.1250 0.2500
V 0.3750 0.3903 0.7500
Sn 0.0000 0.0000 0.0000
Sn 0.7500 0.2500 0.5000
Ti 0.5000 0.5000 0.0000
Ti 0.2500 0.7500 0.5000
```

=====

Entry 8:
The following is a DFT calculation (GGA-PBE) of a relaxed TiV9Sn2 crystal. Values from VASP.

Properties
N(E_F): 15.02 states/eV/f.u.
density: 6.58 g cm⁻³
VASP energy: -8.01 eV/atom

Geometry as Quantum ESPRESSO input:
```
&SYSTEM
  ibrav = 0, nat = 12, ntyp = 3
/
ATOMIC_SPECIES
V 50.94 V.upf
Sn 118.71 Sn.upf
Ti 47.87 Ti.upf
CELL_PARAMETERS angstrom
-4.6002 -0.3147 2.5162
-0.6682 -3.5454 3.8179
0.7816 3.9342 7.4038
ATOMIC_POSITIONS crystal
V 0.4164 0.9192 0.2480
V 0.0808 0.5836 0.7520
V 0.3332 0.3332 0.0003
V 0.6668 0.6668 0.9997
V 0.4164 0.4164 0.2480
V 0.5836 0.5836 0.7520
V 0.5000 0.5000 0.5000
V 0.5836 0.0808 0.7520
V 0.9192 0.4164 0.2480
Sn 0.8633 0.8633 0.4102
Sn 0.1367 0.1367 0.5898
Ti 0.0000 0.0000 0.0000
```